Hg2SeBr (PBE, relaxed); relative energy among the computed polymorphs = 13.5 kJ per mole of atoms; total energy = -1.554 eV per atom; SG = R3m, No. 160; crystal system = trigonal; formation energy without anion corrections = -0.114 eV per atom; calculated volume = 27.77 Å³ per atom
1.0
4.187 0.000 0.000
2.093 3.626 0.000
2.093 1.209 7.318
Br Se Hg
1 1 2
direct
0.494 0.494 0.519
0.671 0.671 0.988
0.072 0.072 0.783
0.264 0.264 0.209

Si5Au3 (PBE, relaxed); relative energy among the computed polymorphs = 0.0 kJ per mole of atoms; total energy = -4.436 eV per atom; SG = Cm, No. 8; crystal system = monoclinic; formation energy without anion corrections = 0.182 eV per atom; calculated volume = 20.21 Å³ per atom
1.0
-2.832 4.104 3.519
-1.565 -7.936 4.880
7.038 2.754 -1.283
Au Si
6 10
direct
0.341 0.329 0.075
0.766 0.753 0.925
0.582 0.774 0.500
0.353 0.197 0.500
0.801 0.306 0.251
0.051 0.556 0.749
0.768 0.582 0.247
0.177 0.654 0.500
0.880 0.236 0.921
0.021 0.835 0.753
0.114 0.302 0.727
0.887 0.075 0.273
0.381 0.083 0.129
0.660 0.049 0.500
0.460 0.816 0.079
0.752 0.454 0.871